# 1
PBE SrLa2Ni, relaxed; N(E_F) = 5.09 states/eV per cell; ΔH_f (0 K) = 0.331 eV/atom; E = -4.00 eV per atom; magnetic moment = 0.000 μB/atom; calculated density = 5.77 g/cm³
1.0
-3.713 -1.152 -1.173
-0.845 -2.269 4.904
-2.057 4.750 1.844
La Ni Sr
2 1 1
direct
0.000 0.000 0.000 La
0.500 0.500 0.000 La
0.500 0.000 0.500 Ni
0.000 0.500 0.500 Sr



# 2
PBE CaCu2W, relaxed; N(E_F) = 4.56 states/eV per cell; ΔH_f (0 K) = 0.498 eV/atom; E = -5.29 eV per atom; magnetic moment = 0.077 μB/atom; calculated density = 8.93 g/cm³
1.0
5.273 -0.021 0.017
4.591 2.595 0.017
1.337 0.349 4.742
Ca Cu W
1 2 1
direct
0.266 0.266 0.191 Ca
0.027 0.027 0.033 Cu
0.729 0.729 0.701 Cu
0.478 0.478 0.575 W



# 3
PBE Li2MnSbI, relaxed; N(E_F) = 0.00 states/eV per cell; E = -3.94 eV per atom; magnetic moment = 1.000 μB/atom; calculated density = 3.55 g/cm³
1.0
-3.200 -3.636 -2.255
2.475 -3.776 2.576
-3.440 0.512 4.056
I Sb Mn Li
1 1 1 2
direct
0.500 0.500 0.500 I
0.000 0.000 0.000 Sb
0.000 0.500 0.000 Mn
0.000 0.000 0.500 Li
0.500 0.000 0.000 Li



# 4
PBE Tl2Pd7PbSe2, relaxed; N(E_F) = 6.49 states/eV per cell; E = -4.54 eV per atom; magnetic moment = 0.000 μB/atom; calculated density = 10.35 g/cm³
1.0
-3.406 -1.196 1.856
0.780 -3.846 -1.038
6.796 -3.264 12.817
Tl Pd Pb Se
2 7 1 2
direct
0.896 0.896 0.404 Tl
0.104 0.104 0.596 Tl
0.500 0.500 0.000 Pd
0.402 0.402 0.416 Pd
0.598 0.598 0.584 Pd
0.958 0.459 0.143 Pd
0.459 0.958 0.143 Pd
0.541 0.042 0.857 Pd
0.042 0.541 0.857 Pd
0.000 0.000 0.000 Pb
0.569 0.569 0.756 Se
0.431 0.431 0.244 Se



# 5
PBE Pr7NdHo2, relaxed; N(E_F) = 13.83 states/eV per cell; ΔH_f (0 K) = 0.188 eV/atom; E = -4.55 eV per atom; magnetic moment = 0.000 μB/atom; calculated density = 6.65 g/cm³
1.0
5.525 -0.431 -0.855
0.003 7.085 -3.552
-1.364 0.310 9.426
Pr Nd Ho
7 1 2
direct
0.156 0.657 0.312 Pr
0.844 0.343 0.688 Pr
0.370 0.670 0.739 Pr
0.630 0.330 0.261 Pr
0.629 0.931 0.259 Pr
0.371 0.069 0.741 Pr
0.500 0.500 0.000 Pr
0.000 0.000 0.000 Nd
0.787 0.788 0.574 Ho
0.213 0.212 0.426 Ho



# 6
PBE CeErHgPb, relaxed; N(E_F) = 10.06 states/eV per cell; ΔH_f (0 K) = -0.381 eV/atom; E = -4.01 eV per atom; magnetic moment = 0.360 μB/atom; calculated density = 10.67 g/cm³
1.0
-1.543 0.396 -5.159
-2.515 -4.137 -2.390
-5.245 0.374 -1.228
Pb Hg Ce Er
1 1 1 1
direct
0.250 0.250 0.250 Pb
0.750 0.750 0.750 Hg
0.500 0.500 0.500 Ce
0.000 0.000 0.000 Er



# 7
PBE BeInCo2, relaxed; N(E_F) = 5.06 states/eV per cell; ΔH_f (0 K) = 0.226 eV/atom; E = -4.94 eV per atom; magnetic moment = 0.606 μB/atom; calculated density = 7.93 g/cm³
1.0
4.354 0.000 0.000
0.925 4.255 0.000
-2.639 -2.127 2.732
Be Co In
1 2 1
direct
0.750 0.250 0.500 Be
0.000 0.000 0.000 Co
0.250 0.750 0.500 Co
0.500 0.500 0.000 In



# 8
PBE CrNi4, relaxed; N(E_F) = 7.33 states/eV per cell; ΔH_f (0 K) = 1.265 eV/atom; E = -5.28 eV per atom; magnetic moment = 0.026 μB/atom; calculated density = 6.58 g/cm³
1.0
4.167 0.000 0.000
0.000 4.167 0.000
0.000 0.000 4.167
Cr Ni
1 4
direct
0.500 0.500 0.500 Cr
0.000 0.000 0.000 Ni
0.500 0.000 0.500 Ni
0.000 0.500 0.500 Ni
0.500 0.500 0.000 Ni